(1)
Material: SrHfFe2Ag
Method: DFT, PBE
State: optimized geometry Values from VASP.

Summary:
- Formation enthalpy at 0 K: 1.3802 eV/atom
- Fermi-level density of states: 5.4 states/eV per cell
- Spin magnetization: 4.80 μB/f.u.
- E_tot: -24.51 eV per cell
- Crystal system: tetragonal
- SG: No. 123

Cell and atoms, written as Quantum ESPRESSO input:
```
&SYSTEM
  ibrav = 0, nat = 5, ntyp = 4
/
ATOMIC_SPECIES
Sr 87.62 Sr.upf
Hf 178.49 Hf.upf
Fe 55.84 Fe.upf
Ag 107.87 Ag.upf
CELL_PARAMETERS angstrom
4.921 0.000 0.000
0.000 5.257 0.000
0.000 0.000 4.921
ATOMIC_POSITIONS crystal
Sr 0.000 0.500 0.000
Hf 0.500 0.500 0.500
Fe 0.000 0.000 0.500
Fe 0.500 0.000 0.000
Ag 0.000 0.000 0.000
```

(2)
Material: Hf2FeAgTe
Method: DFT, PBE
State: optimized geometry Values from VASP.

Summary:
- Fermi-level density of states: 7.3 states/eV per cell
- Spin magnetization: 0.30 μB/f.u.
- E_tot: -28.90 eV per cell
- Crystal system: tetragonal
- SG: No. 123

Cell and atoms, written as Quantum ESPRESSO input:
```
&SYSTEM
  ibrav = 0, nat = 5, ntyp = 4
/
ATOMIC_SPECIES
Te 127.60 Te.upf
Hf 178.49 Hf.upf
Fe 55.84 Fe.upf
Ag 107.87 Ag.upf
CELL_PARAMETERS angstrom
-1.696 -4.396 1.912
-0.257 -1.765 -4.286
4.785 -1.672 0.401
ATOMIC_POSITIONS crystal
Te 0.500 0.500 0.500
Hf 0.000 0.000 0.500
Hf 0.500 0.000 0.000
Fe 0.000 0.500 0.000
Ag 0.000 0.000 0.000
```

(3)
Material: FeAgHg2
Method: DFT, PBE
State: optimized geometry Values from VASP.

Summary:
- Formation enthalpy at 0 K: 0.3563 eV/atom
- Fermi-level density of states: 3.3 states/eV per cell
- Spin magnetization: 2.84 μB/f.u.
- E_tot: -10.49 eV per cell
- Energy above the lowest structure with this stoichiometry: 58 meV per atom
- Crystal system: trigonal
- SG: No. 160

Cell and atoms, written as Quantum ESPRESSO input:
```
&SYSTEM
  ibrav = 0, nat = 4, ntyp = 3
/
ATOMIC_SPECIES
Ag 107.87 Ag.upf
Fe 55.84 Fe.upf
Hg 200.59 Hg.upf
CELL_PARAMETERS angstrom
-5.130 -6.492 -5.573
-2.558 -8.055 -5.301
-4.670 -8.234 -3.147
ATOMIC_POSITIONS crystal
Ag 0.492 0.492 0.492
Fe 0.753 0.753 0.753
Hg 0.011 0.011 0.011
Hg 0.244 0.244 0.244
```

(4)
Material: FeAgHg3
Method: DFT, PBE
State: optimized geometry Values from VASP.

Summary:
- Formation enthalpy at 0 K: 0.5756 eV/atom
- Fermi-level density of states: 3.9 states/eV per cell
- Spin magnetization: 2.58 μB/f.u.
- E_tot: -9.34 eV per cell
- Energy above the lowest structure with this stoichiometry: 0 meV per atom
- Crystal system: cubic
- SG: No. 221

Cell and atoms, written as Quantum ESPRESSO input:
```
&SYSTEM
  ibrav = 0, nat = 5, ntyp = 3
/
ATOMIC_SPECIES
Hg 200.59 Hg.upf
Ag 107.87 Ag.upf
Fe 55.84 Fe.upf
CELL_PARAMETERS angstrom
-5.042 0.682 -0.095
-0.686 -4.921 1.098
0.055 1.101 4.968
ATOMIC_POSITIONS crystal
Hg 0.000 0.500 0.000
Hg 0.000 0.000 0.500
Hg 0.500 0.000 0.000
Ag 0.500 0.500 0.500
Fe 0.000 0.000 0.000
```

(5)
Material: FeAgHg2
Method: DFT, PBE
State: optimized geometry Values from VASP.

Summary:
- Formation enthalpy at 0 K: 0.4569 eV/atom
- Fermi-level density of states: 4.0 states/eV per cell
- Spin magnetization: 3.17 μB/f.u.
- E_tot: -10.09 eV per cell
- Energy above the lowest structure with this stoichiometry: 158 meV per atom
- Crystal system: cubic
- SG: No. 216

Cell and atoms, written as Quantum ESPRESSO input:
```
&SYSTEM
  ibrav = 0, nat = 4, ntyp = 3
/
ATOMIC_SPECIES
Ag 107.87 Ag.upf
Fe 55.84 Fe.upf
Hg 200.59 Hg.upf
CELL_PARAMETERS angstrom
-2.535 0.883 -3.914
-3.489 -2.950 -1.283
-4.527 1.377 0.365
ATOMIC_POSITIONS crystal
Ag 0.500 0.500 0.500
Fe 0.250 0.250 0.250
Hg 0.000 0.000 0.000
Hg 0.750 0.750 0.750
```

(6)
Material: FeAg2Hg
Method: DFT, PBE
State: optimized geometry Values from VASP.

Summary:
- Formation enthalpy at 0 K: 0.3620 eV/atom
- Fermi-level density of states: 3.0 states/eV per cell
- Spin magnetization: 2.89 μB/f.u.
- E_tot: -13.02 eV per cell
- Crystal system: orthorhombic
- SG: No. 44

Cell and atoms, written as Quantum ESPRESSO input:
```
&SYSTEM
  ibrav = 0, nat = 4, ntyp = 3
/
ATOMIC_SPECIES
Ag 107.87 Ag.upf
Fe 55.84 Fe.upf
Hg 200.59 Hg.upf
CELL_PARAMETERS angstrom
-4.051 0.701 -3.857
-0.602 -3.884 -4.041
-0.095 1.355 5.471
ATOMIC_POSITIONS crystal
Ag 0.999 0.999 0.000
Ag 0.737 0.237 0.500
Fe 0.501 0.501 0.000
Hg 0.263 0.763 0.500
```

(7)
Material: FeAg4Hg
Method: DFT, PBE
State: optimized geometry Values from VASP.

Summary:
- Formation enthalpy at 0 K: 0.4573 eV/atom
- Fermi-level density of states: 5.1 states/eV per cell
- Spin magnetization: 3.18 μB/f.u.
- E_tot: -17.43 eV per cell
- Crystal system: cubic
- SG: No. 216

Cell and atoms, written as Quantum ESPRESSO input:
```
&SYSTEM
  ibrav = 0, nat = 6, ntyp = 3
/
ATOMIC_SPECIES
Fe 55.84 Fe.upf
Ag 107.87 Ag.upf
Hg 200.59 Hg.upf
CELL_PARAMETERS angstrom
0.000 3.866 3.866
3.866 0.000 3.866
3.866 3.866 0.000
ATOMIC_POSITIONS crystal
Fe 0.750 0.750 0.750
Ag 0.375 0.874 0.375
Ag 0.874 0.375 0.375
Ag 0.375 0.375 0.874
Ag 0.375 0.375 0.375
Hg 0.000 0.000 0.000
```

(8)
Material: FeAg2Hg
Method: DFT, PBE
State: optimized geometry Values from VASP.

Summary:
- Formation enthalpy at 0 K: 0.3002 eV/atom
- Fermi-level density of states: 2.2 states/eV per cell
- Spin magnetization: 3.07 μB/f.u.
- E_tot: -13.27 eV per cell
- Crystal system: trigonal
- SG: No. 166

Cell and atoms, written as Quantum ESPRESSO input:
```
&SYSTEM
  ibrav = 0, nat = 4, ntyp = 3
/
ATOMIC_SPECIES
Ag 107.87 Ag.upf
Fe 55.84 Fe.upf
Hg 200.59 Hg.upf
CELL_PARAMETERS angstrom
-8.763 3.809 2.055
-9.523 0.977 1.971
-8.441 2.133 4.441
ATOMIC_POSITIONS crystal
Ag 0.992 0.992 0.992
Ag 0.508 0.508 0.508
Fe 0.250 0.250 0.250
Hg 0.750 0.750 0.750
```

(9)
Material: FeAg2Hg
Method: DFT, PBE
State: optimized geometry Values from VASP.

Summary:
- Formation enthalpy at 0 K: 0.3136 eV/atom
- Fermi-level density of states: 2.8 states/eV per cell
- Spin magnetization: 2.93 μB/f.u.
- E_tot: -13.21 eV per cell
- Crystal system: monoclinic
- SG: No. 12

Cell and atoms, written as Quantum ESPRESSO input:
```
&SYSTEM
  ibrav = 0, nat = 4, ntyp = 3
/
ATOMIC_SPECIES
Ag 107.87 Ag.upf
Fe 55.84 Fe.upf
Hg 200.59 Hg.upf
CELL_PARAMETERS angstrom
5.121 0.004 0.051
4.285 2.804 0.051
0.918 0.274 4.898
ATOMIC_POSITIONS crystal
Ag 0.010 0.010 0.987
Ag 0.490 0.490 0.513
Fe 0.750 0.750 0.750
Hg 0.250 0.250 0.250
```

(10)
Material: FeAg2Hg
Method: DFT, PBE
State: optimized geometry Values from VASP.

Summary:
- Formation enthalpy at 0 K: 0.3930 eV/atom
- Fermi-level density of states: 4.4 states/eV per cell
- Spin magnetization: 2.89 μB/f.u.
- E_tot: -12.90 eV per cell
- Crystal system: orthorhombic
- SG: No. 65

Cell and atoms, written as Quantum ESPRESSO input:
```
&SYSTEM
  ibrav = 0, nat = 4, ntyp = 3
/
ATOMIC_SPECIES
Ag 107.87 Ag.upf
Fe 55.84 Fe.upf
Hg 200.59 Hg.upf
CELL_PARAMETERS angstrom
-2.201 -3.745 -2.558
3.150 -1.943 3.423
-2.196 -0.065 1.984
ATOMIC_POSITIONS crystal
Ag 0.000 0.000 0.000
Ag 0.500 0.500 0.000
Fe 0.500 0.000 0.500
Hg 0.000 0.500 0.500
```

(11)
Material: FeAgHg2
Method: DFT, PBE
State: optimized geometry Values from VASP.

Summary:
- Formation enthalpy at 0 K: 0.3724 eV/atom
- Fermi-level density of states: 3.3 states/eV per cell
- Spin magnetization: 2.71 μB/f.u.
- E_tot: -10.43 eV per cell
- Energy above the lowest structure with this stoichiometry: 74 meV per atom
- Crystal system: tetragonal
- SG: No. 123

Cell and atoms, written as Quantum ESPRESSO input:
```
&SYSTEM
  ibrav = 0, nat = 4, ntyp = 3
/
ATOMIC_SPECIES
Ag 107.87 Ag.upf
Fe 55.84 Fe.upf
Hg 200.59 Hg.upf
CELL_PARAMETERS angstrom
-3.396 1.041 -1.501
0.681 -2.691 -3.406
-1.967 -3.264 2.186
ATOMIC_POSITIONS crystal
Ag 0.500 0.500 0.000
Fe 0.500 0.000 0.500
Hg 0.000 0.000 0.000
Hg 0.000 0.500 0.500
```

(12)
Material: FeAgHg2
Method: DFT, PBE
State: optimized geometry Values from VASP.

Summary:
- Formation enthalpy at 0 K: 0.3383 eV/atom
- Fermi-level density of states: 3.2 states/eV per cell
- Spin magnetization: 2.80 μB/f.u.
- E_tot: -10.56 eV per cell
- Energy above the lowest structure with this stoichiometry: 40 meV per atom
- Crystal system: orthorhombic
- SG: No. 44

Cell and atoms, written as Quantum ESPRESSO input:
```
&SYSTEM
  ibrav = 0, nat = 4, ntyp = 3
/
ATOMIC_SPECIES
Ag 107.87 Ag.upf
Fe 55.84 Fe.upf
Hg 200.59 Hg.upf
CELL_PARAMETERS angstrom
6.425 0.114 -0.017
3.943 5.074 0.017
-4.637 -3.687 2.489
ATOMIC_POSITIONS crystal
Ag 0.553 0.553 0.000
Fe 0.753 0.253 0.500
Hg 0.956 0.956 0.000
Hg 0.238 0.738 0.500
```

(13)
Material: FeAg2Hg
Method: DFT, PBE
State: optimized geometry Values from VASP.

Summary:
- Formation enthalpy at 0 K: 0.3648 eV/atom
- Fermi-level density of states: 5.1 states/eV per cell
- Spin magnetization: 2.67 μB/f.u.
- E_tot: -13.01 eV per cell
- Crystal system: tetragonal
- SG: No. 123

Cell and atoms, written as Quantum ESPRESSO input:
```
&SYSTEM
  ibrav = 0, nat = 4, ntyp = 3
/
ATOMIC_SPECIES
Ag 107.87 Ag.upf
Fe 55.84 Fe.upf
Hg 200.59 Hg.upf
CELL_PARAMETERS angstrom
-2.179 -2.559 2.729
-1.071 -2.374 -3.082
3.318 -2.226 0.562
ATOMIC_POSITIONS crystal
Ag 0.000 0.000 0.000
Ag 0.000 0.500 0.500
Fe 0.500 0.500 0.000
Hg 0.500 0.000 0.500
```

(14)
Material: FeAg2Hg
Method: DFT, PBE
State: optimized geometry Values from VASP.

Summary:
- Formation enthalpy at 0 K: 0.3141 eV/atom
- Fermi-level density of states: 2.9 states/eV per cell
- Spin magnetization: 2.93 μB/f.u.
- E_tot: -13.21 eV per cell
- Crystal system: orthorhombic
- SG: No. 25

Cell and atoms, written as Quantum ESPRESSO input:
```
&SYSTEM
  ibrav = 0, nat = 4, ntyp = 3
/
ATOMIC_SPECIES
Ag 107.87 Ag.upf
Fe 55.84 Fe.upf
Hg 200.59 Hg.upf
CELL_PARAMETERS angstrom
3.824 0.000 0.000
0.000 2.968 0.011
0.000 2.950 6.196
ATOMIC_POSITIONS crystal
Ag 0.000 0.988 0.012
Ag 0.500 0.235 0.264
Fe 0.000 0.509 0.491
Hg 0.500 0.768 0.733
```

(15)
Material: FeAg2Hg
Method: DFT, PBE
State: optimized geometry Values from VASP.

Summary:
- Formation enthalpy at 0 K: 0.3491 eV/atom
- Fermi-level density of states: 3.0 states/eV per cell
- Spin magnetization: 2.84 μB/f.u.
- E_tot: -13.07 eV per cell
- Crystal system: monoclinic
- SG: No. 10

Cell and atoms, written as Quantum ESPRESSO input:
```
&SYSTEM
  ibrav = 0, nat = 4, ntyp = 3
/
ATOMIC_SPECIES
Ag 107.87 Ag.upf
Fe 55.84 Fe.upf
Hg 200.59 Hg.upf
CELL_PARAMETERS angstrom
-2.343 -1.410 3.918
1.826 -2.148 0.319
3.346 2.682 2.966
ATOMIC_POSITIONS crystal
Ag 0.000 0.016 0.014
Ag 0.000 0.484 0.486
Fe 0.500 0.250 0.250
Hg 0.500 0.750 0.750
```

(16)
Material: FeAg2Hg
Method: DFT, PBE
State: optimized geometry Values from VASP.

Summary:
- Formation enthalpy at 0 K: 0.3575 eV/atom
- Fermi-level density of states: 3.7 states/eV per cell
- Spin magnetization: 2.94 μB/f.u.
- E_tot: -13.04 eV per cell
- Crystal system: tetragonal
- SG: No. 139

Cell and atoms, written as Quantum ESPRESSO input:
```
&SYSTEM
  ibrav = 0, nat = 4, ntyp = 3
/
ATOMIC_SPECIES
Ag 107.87 Ag.upf
Fe 55.84 Fe.upf
Hg 200.59 Hg.upf
CELL_PARAMETERS angstrom
5.046 -0.009 0.000
1.677 4.759 0.000
-3.361 -2.375 2.919
ATOMIC_POSITIONS crystal
Ag 0.000 0.000 0.000
Ag 0.500 0.500 0.000
Fe 0.250 0.750 0.500
Hg 0.750 0.250 0.500
```

(17)
Material: FeAg2Hg
Method: DFT, PBE
State: optimized geometry Values from VASP.

Summary:
- Formation enthalpy at 0 K: 0.2799 eV/atom
- Fermi-level density of states: 2.4 states/eV per cell
- Spin magnetization: 2.72 μB/f.u.
- E_tot: -13.35 eV per cell
- Crystal system: tetragonal
- SG: No. 99

Cell and atoms, written as Quantum ESPRESSO input:
```
&SYSTEM
  ibrav = 0, nat = 4, ntyp = 3
/
ATOMIC_SPECIES
Ag 107.87 Ag.upf
Fe 55.84 Fe.upf
Hg 200.59 Hg.upf
CELL_PARAMETERS angstrom
-1.978 -1.876 1.108
1.553 -0.163 2.494
-4.186 6.193 3.010
ATOMIC_POSITIONS crystal
Ag 0.000 0.000 0.010
Ag 0.500 0.500 0.267
Fe 0.000 0.000 0.492
Hg 0.500 0.500 0.731
```

(18)
Material: FeAgHg2
Method: DFT, PBE
State: optimized geometry Values from VASP.

Summary:
- Formation enthalpy at 0 K: 0.3921 eV/atom
- Fermi-level density of states: 5.8 states/eV per cell
- Spin magnetization: 2.92 μB/f.u.
- E_tot: -10.35 eV per cell
- Energy above the lowest structure with this stoichiometry: 94 meV per atom
- Crystal system: cubic
- SG: No. 225

Cell and atoms, written as Quantum ESPRESSO input:
```
&SYSTEM
  ibrav = 0, nat = 4, ntyp = 3
/
ATOMIC_SPECIES
Hg 200.59 Hg.upf
Ag 107.87 Ag.upf
Fe 55.84 Fe.upf
CELL_PARAMETERS angstrom
0.000 3.342 3.342
3.342 0.000 3.342
3.342 3.342 0.000
ATOMIC_POSITIONS crystal
Hg 0.250 0.250 0.250
Hg 0.750 0.750 0.750
Ag 0.500 0.500 0.500
Fe 0.000 0.000 0.000
```

(19)
Material: FeAg3Hg
Method: DFT, PBE
State: optimized geometry Values from VASP.

Summary:
- Formation enthalpy at 0 K: 0.8614 eV/atom
- Fermi-level density of states: 2.7 states/eV per cell
- Spin magnetization: 3.09 μB/f.u.
- E_tot: -13.01 eV per cell
- Energy above the lowest structure with this stoichiometry: 0 meV per atom
- Crystal system: cubic
- SG: No. 221

Cell and atoms, written as Quantum ESPRESSO input:
```
&SYSTEM
  ibrav = 0, nat = 5, ntyp = 3
/
ATOMIC_SPECIES
Hg 200.59 Hg.upf
Ag 107.87 Ag.upf
Fe 55.84 Fe.upf
CELL_PARAMETERS angstrom
4.927 0.000 0.000
0.000 4.927 0.000
0.000 0.000 4.927
ATOMIC_POSITIONS crystal
Hg 0.500 0.500 0.500
Ag 0.000 0.500 0.000
Ag 0.000 0.000 0.500
Ag 0.500 0.000 0.000
Fe 0.000 0.000 0.000
```

(20)
Material: FeAg2Hg
Method: DFT, PBE
State: optimized geometry Values from VASP.

Summary:
- Formation enthalpy at 0 K: 0.3451 eV/atom
- Fermi-level density of states: 3.2 states/eV per cell
- Spin magnetization: 2.95 μB/f.u.
- E_tot: -13.09 eV per cell
- Crystal system: monoclinic
- SG: No. 8

Cell and atoms, written as Quantum ESPRESSO input:
```
&SYSTEM
  ibrav = 0, nat = 4, ntyp = 3
/
ATOMIC_SPECIES
Ag 107.87 Ag.upf
Fe 55.84 Fe.upf
Hg 200.59 Hg.upf
CELL_PARAMETERS angstrom
-2.873 0.928 -4.013
-4.416 -0.823 -2.245
-2.728 4.034 1.613
ATOMIC_POSITIONS crystal
Ag 0.001 0.001 0.989
Ag 0.758 0.758 0.746
Fe 0.499 0.499 0.502
Hg 0.242 0.242 0.263
```